1.
LiAl2Hg: PBEsol geometry, meta-GGA SCAN.

Output
Symmetry: C2/m (12)
Total DFT energy (no corrections) in eV per atom: -21.613
ρ in g/cm3: 6.151
E_form in eV per atom: -0.098

The structure in extended XYZ format:
```
4
Lattice="2.7997 -4.9706 0.0000 2.7997 4.9706 0.0000 -1.5586 0.0000 2.5364" Properties=species:S:1:pos:R:3 pbc="T T T"
Li 0.0000 0.0000 0.0000
Al 1.3999 2.4853 0.0000
Al 1.3999 -2.4853 0.0000
Hg 2.7997 0.0000 0.0000
```



2.
Li2AlHg2: PBEsol geometry, meta-GGA SCAN.

Output
Symmetry: I4/mmm (139)
Total DFT energy (no corrections) in eV per atom: -29.918
ρ in g/cm3: 7.898
E_form in eV per atom: -0.145

The structure in extended XYZ format:
```
5
Lattice="-1.8224 1.8224 6.9956 1.8224 -1.8224 6.9956 1.8224 1.8224 -6.9956" Properties=species:S:1:pos:R:3 pbc="T T T"
Li 1.8224 0.0000 3.4978
Li 0.0000 1.8224 3.4978
Al 0.0000 0.0000 0.0000
Hg 0.0000 0.0000 5.5012
Hg 0.0000 0.0000 8.4900
```



3.
LiAlHg2: PBEsol geometry, meta-GGA SCAN.

Output
Symmetry: P4/mmm (123)
Total DFT energy (no corrections) in eV per atom: -36.825
ρ in g/cm3: 9.817
E_form in eV per atom: -0.207

The structure in extended XYZ format:
```
4
Lattice="3.3827 0.0000 0.0000 0.0000 3.3827 0.0000 0.0000 0.0000 6.4320" Properties=species:S:1:pos:R:3 pbc="T T T"
Li 0.0000 0.0000 0.0000
Al 0.0000 0.0000 3.2160
Hg 1.6914 1.6914 1.5375
Hg 1.6914 1.6914 4.8945
```



4.
LiAl2Hg: PBEsol geometry, meta-GGA SCAN.

Output
Symmetry: Pmm2 (25)
Total DFT energy (no corrections) in eV per atom: -21.673
ρ in g/cm3: 6.336
E_form in eV per atom: -0.158

The structure in extended XYZ format:
```
4
Lattice="3.0733 0.0000 0.0000 0.0000 3.9421 0.0000 0.0000 0.0000 5.6566" Properties=species:S:1:pos:R:3 pbc="T T T"
Li 0.0000 0.0000 0.0000
Al 0.0000 0.0000 2.7546
Al 1.5367 1.9710 1.4641
Hg 1.5367 1.9710 4.3562
```



5.
LiAlHg2: PBEsol geometry, meta-GGA SCAN.

Output
Symmetry: P4/mmm (123)
Total DFT energy (no corrections) in eV per atom: -36.842
ρ in g/cm3: 9.902
E_form in eV per atom: -0.224

The structure in extended XYZ format:
```
4
Lattice="4.4837 0.0000 0.0000 0.0000 4.4837 0.0000 0.0000 0.0000 3.6295" Properties=species:S:1:pos:R:3 pbc="T T T"
Li 0.0000 0.0000 0.0000
Al 2.2419 2.2419 0.0000
Hg 0.0000 2.2419 1.8148
Hg 2.2419 0.0000 1.8148
```



6.
LiAl2Hg: PBEsol geometry, meta-GGA SCAN.

Output
Symmetry: R-3m (166)
Total DFT energy (no corrections) in eV per atom: -21.486
ρ in g/cm3: 5.945
E_form in eV per atom: 0.028

The structure in extended XYZ format:
```
4
Lattice="1.5275 0.8819 9.0376 -1.5275 0.8819 9.0376 0.0000 -1.7638 9.0376" Properties=species:S:1:pos:R:3 pbc="T T T"
Li 0.0000 0.0000 0.0000
Al 0.0000 0.0000 6.8227
Al 0.0000 0.0000 20.2902
Hg 0.0000 0.0000 13.5565
```



7.
Li2Al2Hg: PBEsol geometry, meta-GGA SCAN.

Output
Symmetry: P4/mbm (127)
Total DFT energy (no corrections) in eV per atom: -17.665
ρ in g/cm3: 5.240
E_form in eV per atom: 0.025

The structure in extended XYZ format:
```
10
Lattice="7.2595 0.0000 0.0000 0.0000 7.2595 0.0000 0.0000 0.0000 3.2283" Properties=species:S:1:pos:R:3 pbc="T T T"
Li 1.1307 2.4991 0.0000
Li 2.4991 6.1288 0.0000
Li 4.7604 1.1307 0.0000
Li 6.1288 4.7604 0.0000
Al 1.0244 4.6541 1.6141
Al 2.6054 1.0244 1.6141
Al 4.6541 6.2351 1.6141
Al 6.2351 2.6054 1.6141
Hg 0.0000 0.0000 0.0000
Hg 3.6297 3.6297 0.0000
```



8.
Mg2AlHg: PBEsol geometry, meta-GGA SCAN.

Output
Symmetry: Cmmm (65)
Total DFT energy (no corrections) in eV per atom: -21.625
ρ in g/cm3: 5.839
E_form in eV per atom: -0.159

The structure in extended XYZ format:
```
4
Lattice="3.0065 -4.1656 0.0000 3.0065 4.1656 0.0000 0.0000 0.0000 3.1358" Properties=species:S:1:pos:R:3 pbc="T T T"
Mg 1.5032 2.0828 0.0000
Mg 1.5032 -2.0828 0.0000
Al 0.0000 0.0000 1.5679
Hg 3.0065 0.0000 1.5679
```



9.
MgAl2Hg: PBEsol geometry, meta-GGA SCAN.

Output
Symmetry: I-4m2 (119)
Total DFT energy (no corrections) in eV per atom: -22.194
ρ in g/cm3: 6.200
E_form in eV per atom: -0.033

The structure in extended XYZ format:
```
4
Lattice="-2.1122 2.1122 4.1855 2.1122 -2.1122 4.1855 2.1122 2.1122 -4.1855" Properties=species:S:1:pos:R:3 pbc="T T T"
Mg 0.0000 0.0000 0.0000
Al 2.1122 0.0000 2.0928
Al 0.0000 0.0000 4.1855
Hg 0.0000 2.1122 2.0928
```



10.
Mg2AlHg: PBEsol geometry, meta-GGA SCAN.

Output
Symmetry: Pmm2 (25)
Total DFT energy (no corrections) in eV per atom: -21.619
ρ in g/cm3: 5.818
E_form in eV per atom: -0.152

The structure in extended XYZ format:
```
4
Lattice="3.2730 0.0000 0.0000 0.0000 4.8073 0.0000 0.0000 0.0000 5.0100" Properties=species:S:1:pos:R:3 pbc="T T T"
Mg 0.0000 0.0000 0.0000
Mg 0.0000 2.4037 1.9157
Al 1.6365 2.4037 4.4007
Hg 1.6365 0.0000 2.5601
```



11.
MgAl2Hg: PBEsol geometry, meta-GGA SCAN.

Output
Symmetry: Cmmm (65)
Total DFT energy (no corrections) in eV per atom: -22.168
ρ in g/cm3: 6.095
E_form in eV per atom: -0.007

The structure in extended XYZ format:
```
4
Lattice="2.8311 -4.2717 0.0000 2.8311 4.2717 0.0000 0.0000 0.0000 3.1408" Properties=species:S:1:pos:R:3 pbc="T T T"
Mg 0.0000 0.0000 0.0000
Al 1.4156 2.1358 1.5704
Al 1.4156 -2.1358 1.5704
Hg 2.8311 0.0000 0.0000
```



12.
Mg2AlHg: PBEsol geometry, meta-GGA SCAN.

Output
Symmetry: P4/mmm (123)
Total DFT energy (no corrections) in eV per atom: -21.600
ρ in g/cm3: 5.784
E_form in eV per atom: -0.133

The structure in extended XYZ format:
```
4
Lattice="3.1209 0.0000 0.0000 0.0000 3.1209 0.0000 0.0000 0.0000 8.1413" Properties=species:S:1:pos:R:3 pbc="T T T"
Mg 0.0000 0.0000 2.0386
Mg 0.0000 0.0000 6.1027
Al 1.5604 1.5604 0.0000
Hg 1.5604 1.5604 4.0706
```



13.
Mg16Al12Hg: PBEsol geometry, meta-GGA SCAN.

Output
Symmetry: Cm (8)
Total DFT energy (no corrections) in eV per atom: -8.344
ρ in g/cm3: 2.659
E_form in eV per atom: -0.041

The structure in extended XYZ format:
```
29
Lattice="5.2280 -7.3345 0.0000 5.2280 7.3345 0.0000 -5.1402 0.0000 7.4373" Properties=species:S:1:pos:R:3 pbc="T T T"
Mg 0.0000 0.0000 0.0000
Mg 1.9380 -4.7559 7.4141
Mg -1.7480 0.0000 2.5706
Mg 1.5186 4.3861 2.3852
Mg 1.5560 2.8453 5.1104
Mg 3.7772 5.0079 4.4790
Mg -0.3077 1.9968 7.4340
Mg 1.9380 4.7559 7.4141
Mg 3.7899 2.2913 2.9996
Mg -0.3077 -1.9968 7.4340
Mg 1.5186 -4.3861 2.3852
Mg 3.3401 0.0000 4.9526
Mg 1.5560 -2.8453 5.1104
Mg 5.7139 0.0000 2.1860
Mg 3.7899 -2.2913 2.9996
Mg 3.7772 -5.0079 4.4790
Al 0.9932 5.9614 4.7366
Al -0.8762 4.6046 6.0982
Al 1.0145 1.3767 2.6964
Al -2.2993 0.0000 6.0960
Al 4.3268 4.6011 1.4122
Al 1.0145 -1.3767 2.6964
Al 2.9335 0.0000 1.3383
Al -0.8762 -4.6046 6.0982
Al 7.6127 1.3471 0.0835
Al 0.9932 -5.9614 4.7366
Al 4.3268 -4.6011 1.4122
Al 7.6127 -1.3471 0.0835
Hg 0.3557 0.0000 5.1838
```



14.
Mg2AlHg: PBEsol geometry, meta-GGA SCAN.

Output
Symmetry: F-43m (216)
Total DFT energy (no corrections) in eV per atom: -21.505
ρ in g/cm3: 5.735
E_form in eV per atom: -0.039

The structure in extended XYZ format:
```
4
Lattice="0.0000 3.4195 3.4195 3.4195 0.0000 3.4195 3.4195 3.4195 0.0000" Properties=species:S:1:pos:R:3 pbc="T T T"
Mg 0.0000 0.0000 0.0000
Mg 1.7098 1.7098 1.7098
Al 5.1293 5.1293 5.1293
Hg 3.4195 3.4195 3.4195
```



15.
Mg2AlHg: PBEsol geometry, meta-GGA SCAN.

Output
Symmetry: I4/mmm (139)
Total DFT energy (no corrections) in eV per atom: -21.629
ρ in g/cm3: 5.847
E_form in eV per atom: -0.163

The structure in extended XYZ format:
```
4
Lattice="-2.1786 2.1786 4.1313 2.1786 -2.1786 4.1313 2.1786 2.1786 -4.1313" Properties=species:S:1:pos:R:3 pbc="T T T"
Mg 2.1786 0.0000 2.0657
Mg 0.0000 2.1786 2.0657
Al 0.0000 0.0000 0.0000
Hg 0.0000 0.0000 4.1313
```



16.
Mg2AlHg: PBEsol geometry, meta-GGA SCAN.

Output
Symmetry: Pmmm (47)
Total DFT energy (no corrections) in eV per atom: -21.623
ρ in g/cm3: 5.838
E_form in eV per atom: -0.156

The structure in extended XYZ format:
```
4
Lattice="3.2079 0.0000 0.0000 0.0000 4.0379 0.0000 0.0000 0.0000 6.0646" Properties=species:S:1:pos:R:3 pbc="T T T"
Mg 0.0000 0.0000 1.5026
Mg 0.0000 0.0000 4.5620
Al 1.6039 2.0189 0.0000
Hg 1.6039 2.0189 3.0323
```



17.
Mg2AlHgN: PBEsol geometry, meta-GGA SCAN.

Output
Symmetry: P4/mmm (123)
Total DFT energy (no corrections) in eV per atom: -19.570
ρ in g/cm3: 6.410
E_form (uncorrected) in eV per atom: -0.539

The structure in extended XYZ format:
```
5
Lattice="4.4036 0.0000 0.0000 0.0000 4.4036 0.0000 0.0000 0.0000 3.8769" Properties=species:S:1:pos:R:3 pbc="T T T"
Mg 0.0000 2.2018 0.0000
Mg 2.2018 0.0000 0.0000
Al 0.0000 0.0000 1.9384
Hg 2.2018 2.2018 1.9384
N 0.0000 0.0000 0.0000
```



18.
MnAl4Hg: PBEsol geometry, meta-GGA SCAN.

Output
Symmetry: F-43m (216)
Total DFT energy (no corrections) in eV per atom: -19.410
ρ in g/cm3: 5.862
E_form in eV per atom: 0.162

The structure in extended XYZ format:
```
6
Lattice="0.0000 3.7200 3.7200 3.7200 0.0000 3.7200 3.7200 3.7200 0.0000" Properties=species:S:1:pos:R:3 pbc="T T T"
Mn 0.0000 0.0000 0.0000
Al 2.7862 2.7862 2.7862
Al 4.6538 4.6538 2.7862
Al 4.6538 2.7862 4.6538
Al 2.7862 4.6538 4.6538
Hg 5.5800 5.5800 5.5800
```



19.
MnAl2Hg: PBEsol geometry, meta-GGA SCAN.

Output
Symmetry: Pmm2 (25)
Total DFT energy (no corrections) in eV per atom: -25.585
ρ in g/cm3: 8.197
E_form in eV per atom: -0.104

The structure in extended XYZ format:
```
4
Lattice="3.0190 0.0000 0.0000 0.0000 3.8004 0.0000 0.0000 0.0000 5.4644" Properties=species:S:1:pos:R:3 pbc="T T T"
Mn 0.0000 0.0000 0.0000
Al 0.0000 0.0000 2.5397
Al 1.5095 1.9002 1.0820
Hg 1.5095 1.9002 3.9061
```



20.
MnAlHg2: PBEsol geometry, meta-GGA SCAN.

Output
Symmetry: Imm2 (44)
Total DFT energy (no corrections) in eV per atom: -40.572
ρ in g/cm3: 10.799
E_form in eV per atom: 0.013

The structure in extended XYZ format:
```
4
Lattice="-1.4795 2.2811 5.5029 1.4795 -2.2811 5.5029 1.4795 2.2811 -5.5029" Properties=species:S:1:pos:R:3 pbc="T T T"
Mn 0.0000 0.0000 0.0000
Al 1.4795 0.0000 2.1283
Hg 0.0000 0.0000 5.5031
Hg 0.0000 2.2811 3.1121
```